Record 1
# PPdCl3, PBEsol geometry, DFT meta-GGA SCAN
# V, Å³/cell: 102
# Density of states at the Fermi level, states/eV per atom: 1.611
# Final energy, eV per formula unit: -65.84
data_PPdCl3
_chemical_formula_sum 'P1 Pd1 Cl3'
_space_group_name_H-M_alt 'P m -3 m'
_space_group_IT_number 221
_space_group_name_Hall '-P 4 2 3'
_cell_length_a 4.678
_cell_length_b 4.678
_cell_length_c 4.678
_cell_angle_alpha 90.00
_cell_angle_beta 90.00
_cell_angle_gamma 90.00
loop_
_atom_site_label
_atom_site_type_symbol
_atom_site_fract_x
_atom_site_fract_y
_atom_site_fract_z
_atom_site_occupancy
P1 P 0.000 0.000 0.000 1
Pd1 Pd 0.500 0.500 0.500 1
Cl1 Cl 0.000 0.000 0.500 1

Record 2
# GaCuPt2S, PBEsol geometry, DFT meta-GGA SCAN
# V, Å³/cell: 91
# Density of states at the Fermi level, states/eV per atom: 0.318
# Final energy, eV per formula unit: -177.26
data_GaCuPt2S
_chemical_formula_sum 'Ga1 Cu1 Pt2 S1'
_space_group_name_H-M_alt 'P 4/m m m'
_space_group_IT_number 123
_space_group_name_Hall '-P 4 2'
_cell_length_a 4.582
_cell_length_b 4.582
_cell_length_c 4.348
_cell_angle_alpha 90.00
_cell_angle_beta 90.00
_cell_angle_gamma 90.00
loop_
_atom_site_label
_atom_site_type_symbol
_atom_site_fract_x
_atom_site_fract_y
_atom_site_fract_z
_atom_site_occupancy
Ga1 Ga 0.000 0.000 0.000 1
Cu1 Cu 0.000 0.000 0.500 1
Pt1 Pt 0.000 0.500 0.000 1
S1 S 0.500 0.500 0.500 1

Record 3
# NaHfFeO2, PBEsol geometry, DFT meta-GGA SCAN
# V, Å³/cell: 64
# Density of states at the Fermi level, states/eV per atom: 0.661
# Final energy, eV per formula unit: -96.20
data_NaHfFeO2
_chemical_formula_sum 'Na1 Hf1 Fe1 O2'
_space_group_name_H-M_alt 'P 4/m m m'
_space_group_IT_number 123
_space_group_name_Hall '-P 4 2'
_cell_length_a 3.961
_cell_length_b 3.961
_cell_length_c 4.048
_cell_angle_alpha 90.00
_cell_angle_beta 90.00
_cell_angle_gamma 90.00
loop_
_atom_site_label
_atom_site_type_symbol
_atom_site_fract_x
_atom_site_fract_y
_atom_site_fract_z
_atom_site_occupancy
Na1 Na 0.000 0.000 0.000 1
Hf1 Hf 0.500 0.500 0.500 1
Fe1 Fe 0.000 0.000 0.500 1
O1 O 0.000 0.500 0.000 1

Record 4
# LaP2AuS, PBEsol geometry, DFT meta-GGA SCAN
# V, Å³/cell: 155
# Density of states at the Fermi level, states/eV per atom: 1.094
# Final energy, eV per formula unit: -138.14
data_LaP2AuS
_chemical_formula_sum 'La1 P2 Au1 S1'
_space_group_name_H-M_alt 'P 4/m m m'
_space_group_IT_number 123
_space_group_name_Hall '-P 4 2'
_cell_length_a 5.426
_cell_length_b 5.426
_cell_length_c 5.259
_cell_angle_alpha 90.00
_cell_angle_beta 90.00
_cell_angle_gamma 90.00
loop_
_atom_site_label
_atom_site_type_symbol
_atom_site_fract_x
_atom_site_fract_y
_atom_site_fract_z
_atom_site_occupancy
La1 La 0.000 0.000 0.000 1
P1 P 0.000 0.500 0.000 1
Au1 Au 0.500 0.500 0.500 1
S1 S 0.000 0.000 0.500 1

Record 5
# SrLaGa3O7, PBEsol geometry, DFT meta-GGA SCAN
# V, Å³/cell: 684
# Density of states at the Fermi level, states/eV per atom: 0.000
# Final energy, eV per formula unit: -190.29
data_SrLaGa3O7
_chemical_formula_sum 'Sr4 La4 Ga12 O28'
_space_group_name_H-M_alt 'C m m 2'
_space_group_IT_number 35
_cell_length_a 11.337
_cell_length_b 11.351
_cell_length_c 5.316
_cell_angle_alpha 90.00
_cell_angle_beta 90.00
_cell_angle_gamma 90.00
loop_
_space_group_symop_operation_xyz
'x,y,z'
'-x,-y,z'
'-x,y,z'
'x,-y,z'
'x+1/2,y+1/2,z'
'-x+1/2,-y+1/2,z'
'-x+1/2,y+1/2,z'
'x+1/2,-y+1/2,z'
loop_
_atom_site_label
_atom_site_type_symbol
_atom_site_fract_x
_atom_site_fract_y
_atom_site_fract_z
_atom_site_occupancy
Sr1 Sr 0.000 0.162 0.000 1
La1 La 0.163 0.500 0.018 1
Ga1 Ga 0.000 0.357 0.542 1
Ga2 Ga 0.145 0.000 0.476 1
Ga3 Ga 0.250 0.250 0.511 1
O1 O 0.000 0.000 0.325 1
O2 O 0.000 0.369 0.203 1
O3 O 0.000 0.500 0.712 1
O4 O 0.127 0.292 0.716 1
O5 O 0.149 0.000 0.815 1
O6 O 0.217 0.124 0.302 1

Record 6
# Pt5Se, PBEsol geometry, DFT meta-GGA SCAN
# V, Å³/cell: 185
# Density of states at the Fermi level, states/eV per atom: 1.133
# Final energy, eV per formula unit: -369.61
data_Pt5Se
_chemical_formula_sum 'Pt10 Se2'
_space_group_name_H-M_alt 'C m m m'
_space_group_IT_number 65
_space_group_name_Hall '-C 2 2'
_cell_length_a 3.869
_cell_length_b 11.971
_cell_length_c 3.991
_cell_angle_alpha 90.00
_cell_angle_beta 90.00
_cell_angle_gamma 90.00
loop_
_atom_site_label
_atom_site_type_symbol
_atom_site_fract_x
_atom_site_fract_y
_atom_site_fract_z
_atom_site_occupancy
Pt1 Pt 0.000 0.000 0.000 1
Pt2 Pt 0.000 0.167 0.500 1
Pt3 Pt 0.000 0.331 0.000 1
Se1 Se 0.000 0.500 0.500 1

Record 7
# FeOsRh2, PBEsol geometry, DFT meta-GGA SCAN
# V, Å³/cell: 158
# ΔH_f (0 K), eV per atom: 0.011
# Density of states at the Fermi level, states/eV per atom: 0.951
# Final energy, eV per formula unit: -157.51
data_FeOsRh2
_chemical_formula_sum 'Fe3 Os3 Rh6'
_space_group_name_H-M_alt 'R -3 m'
_space_group_IT_number 166
_space_group_name_Hall '-R 3 2"'
_cell_length_a 2.6622
_cell_length_b 2.6622
_cell_length_c 25.6995
_cell_angle_alpha 90.00
_cell_angle_beta 90.00
_cell_angle_gamma 120.00
loop_
_atom_site_label
_atom_site_type_symbol
_atom_site_fract_x
_atom_site_fract_y
_atom_site_fract_z
_atom_site_occupancy
Fe1 Fe 0.0000 0.0000 0.0000 1
Os1 Os 0.0000 0.0000 0.5000 1
Rh1 Rh 0.0000 0.0000 0.2519 1

Record 8
# Rb2BH, PBEsol geometry, DFT meta-GGA SCAN
# V, Å³/cell: 533
# Density of states at the Fermi level, states/eV per atom: 0.468
# Final energy, eV per formula unit: -48.48
data_Rb2BH
_chemical_formula_sum 'Rb8 B4 H4'
_space_group_name_H-M_alt 'I -4 2 d'
_space_group_IT_number 122
_space_group_name_Hall 'I -4 2bw'
_cell_length_a 7.799
_cell_length_b 7.799
_cell_length_c 8.758
_cell_angle_alpha 90.00
_cell_angle_beta 90.00
_cell_angle_gamma 90.00
loop_
_atom_site_label
_atom_site_type_symbol
_atom_site_fract_x
_atom_site_fract_y
_atom_site_fract_z
_atom_site_occupancy
Rb1 Rb 0.198 0.250 0.125 1
B1 B 0.000 0.000 0.500 1
H1 H 0.000 0.000 0.000 1

Record 9
# LaFePt2, PBEsol geometry, DFT meta-GGA SCAN
# V, Å³/cell: 206
# ΔH_f (0 K), eV per atom: -0.092
# Density of states at the Fermi level, states/eV per atom: 0.718
# Final energy, eV per formula unit: -201.99
data_LaFePt2
_chemical_formula_sum 'La3 Fe3 Pt6'
_space_group_name_H-M_alt 'R -3 m'
_space_group_IT_number 166
_space_group_name_Hall '-R 3 2"'
_cell_length_a 2.9223
_cell_length_b 2.9223
_cell_length_c 27.8183
_cell_angle_alpha 90.00
_cell_angle_beta 90.00
_cell_angle_gamma 120.00
loop_
_atom_site_label
_atom_site_type_symbol
_atom_site_fract_x
_atom_site_fract_y
_atom_site_fract_z
_atom_site_occupancy
La1 La 0.0000 0.0000 0.0000 1
Fe1 Fe 0.0000 0.0000 0.5000 1
Pt1 Pt 0.0000 0.0000 0.2378 1

Record 10
# Sr2As2O7, PBEsol geometry, DFT meta-GGA SCAN
# V, Å³/cell: 1301
# Density of states at the Fermi level, states/eV per atom: 0.000
# Final energy, eV per formula unit: -153.72
data_Sr2As2O7
_chemical_formula_sum 'Sr16 As16 O56'
_space_group_name_H-M_alt 'P 41'
_space_group_IT_number 76
_cell_length_a 7.119
_cell_length_b 7.119
_cell_length_c 25.672
_cell_angle_alpha 90.00
_cell_angle_beta 90.00
_cell_angle_gamma 90.00
loop_
_space_group_symop_operation_xyz
'x,y,z'
'-y,x,z+1/4'
'-x,-y,z+1/2'
'y,-x,z+3/4'
loop_
_atom_site_label
_atom_site_type_symbol
_atom_site_fract_x
_atom_site_fract_y
_atom_site_fract_z
_atom_site_occupancy
Sr1 Sr 0.024 0.650 0.000 1
Sr2 Sr 0.157 0.603 0.355 1
Sr3 Sr 0.230 0.266 0.103 1
Sr4 Sr 0.254 0.376 0.741 1
As1 As 0.102 0.185 0.968 1
As2 As 0.147 0.763 0.123 1
As3 As 0.224 0.512 0.226 1
As4 As 0.246 0.646 0.616 1
O1 O 0.000 0.009 0.743 1
O2 O 0.052 0.173 0.592 1
O3 O 0.052 0.474 0.270 1
O4 O 0.056 0.282 0.395 1
O5 O 0.060 0.654 0.447 1
O6 O 0.074 0.627 0.178 1
O7 O 0.087 0.612 0.568 1
O8 O 0.101 0.781 0.660 1
O9 O 0.212 0.419 0.842 1
O10 O 0.264 0.300 0.005 1
O11 O 0.281 0.620 0.085 1
O12 O 0.310 0.320 0.197 1
O13 O 0.328 0.459 0.648 1
O14 O 0.335 0.386 0.499 1

Record 11
# Li2InP2HO8, PBEsol geometry, DFT meta-GGA SCAN
# V, Å³/cell: 300
# Density of states at the Fermi level, states/eV per atom: 0.000
# Final energy, eV per formula unit: -144.70
data_Li2InP2HO8
_chemical_formula_sum 'Li4 In2 P4 H2 O16'
_space_group_name_H-M_alt 'P 1 21 1'
_space_group_IT_number 4
_cell_length_a 4.814
_cell_length_b 8.259
_cell_length_c 7.754
_cell_angle_alpha 90.00
_cell_angle_beta 103.57
_cell_angle_gamma 90.00
loop_
_space_group_symop_operation_xyz
'x,y,z'
'-x,y+1/2,-z'
loop_
_atom_site_label
_atom_site_type_symbol
_atom_site_fract_x
_atom_site_fract_y
_atom_site_fract_z
_atom_site_occupancy
Li1 Li 0.132 0.000 0.092 1
Li2 Li 0.367 0.726 0.409 1
In1 In 0.249 0.363 0.250 1
P1 P 0.108 0.013 0.477 1
P2 P 0.393 0.713 0.023 1
H1 H 0.251 0.362 0.750 1
O1 O 0.023 0.432 0.706 1
O2 O 0.118 0.543 0.415 1
O3 O 0.164 0.832 0.923 1
O4 O 0.245 0.174 0.440 1
O5 O 0.255 0.552 0.059 1
O6 O 0.337 0.895 0.578 1
O7 O 0.381 0.183 0.085 1
O8 O 0.476 0.293 0.794 1

Record 12
# CrHgW2, PBEsol geometry, DFT meta-GGA SCAN
# V, Å³/cell: 123
# ΔH_f (0 K), eV per atom: 0.647
# Density of states at the Fermi level, states/eV per atom: 1.074
# Final energy, eV per formula unit: -223.34
data_CrHgW2
_chemical_formula_sum 'Cr2 Hg2 W4'
_space_group_name_H-M_alt 'I -4 m 2'
_space_group_IT_number 119
_space_group_name_Hall 'I -4 -2'
_cell_length_a 4.004
_cell_length_b 4.004
_cell_length_c 7.699
_cell_angle_alpha 90.00
_cell_angle_beta 90.00
_cell_angle_gamma 90.00
loop_
_atom_site_label
_atom_site_type_symbol
_atom_site_fract_x
_atom_site_fract_y
_atom_site_fract_z
_atom_site_occupancy
Cr1 Cr 0.000 0.000 0.000 1
Hg1 Hg 0.000 0.500 0.250 1
W1 W 0.000 0.000 0.500 1
W2 W 0.000 0.500 0.750 1